CsZr2GeW | PBE | relaxed

formation energy	2.821	eV/atom
magnetic moment	2.99	μB per formula unit
ρ	6.6	g cm⁻³
crystal system	tetragonal

Cell: 5.2165 5.3096 5.2165 Å, 90.00 90.00 90.00°
Site moments in Bohr magnetons follow the coordinates.
Fractional positions:
Cs 0.0000 0.0000 0.0000  0.00
Zr 0.5000 0.0000 0.0000  -0.12
W 0.5000 0.5000 0.5000  2.49
Ge 0.0000 0.5000 0.0000  -0.03
Zr 0.0000 0.0000 0.5000  -0.10